[1]
The following is a DFT calculation (PBE) of a relaxed structure of TbDy12Y6.

Cell lengths 8.8119, 8.8119, 8.8119 Å; angles 98.55, 98.55, 98.55 degrees
Last column: nearest neighbours and their distance in Å.
Fractional coordinates of all 19 atoms:
Tb  0.0000  0.0000  0.0000  6 Y 3.59
Dy  0.1178  0.5000  0.8822  4 Y 2.96-3.21, 1 Dy 3.15
Dy  0.1178  0.8822  0.5000  4 Y 2.96-3.21, 1 Dy 3.15
Dy  0.1845  0.4705  0.4705  9 Dy 3.47-3.88, 3 Y 3.62-3.66
Dy  0.4705  0.1845  0.4705  9 Dy 3.47-3.88, 3 Y 3.62-3.66
Dy  0.4705  0.4705  0.1845  9 Dy 3.47-3.88, 3 Y 3.62-3.66
Dy  0.5000  0.1178  0.8822  4 Y 2.96-3.21, 1 Dy 3.15
Dy  0.5000  0.8822  0.1178  4 Y 2.96-3.21, 1 Dy 3.15
Dy  0.5295  0.5295  0.8155  9 Dy 3.47-3.88, 3 Y 3.62-3.66
Dy  0.5295  0.8155  0.5295  9 Dy 3.47-3.88, 3 Y 3.62-3.66
Dy  0.8155  0.5295  0.5295  9 Dy 3.47-3.88, 3 Y 3.62-3.66
Dy  0.8822  0.1178  0.5000  4 Y 2.96-3.21, 1 Dy 3.15
Dy  0.8822  0.5000  0.1178  4 Y 2.96-3.21, 1 Dy 3.15
Y  0.2031  0.2031  0.7447  4 Dy 2.96-3.21
Y  0.2031  0.7447  0.2031  4 Dy 2.96-3.21
Y  0.2553  0.7969  0.7969  4 Dy 2.96-3.21
Y  0.7447  0.2031  0.2031  4 Dy 2.96-3.21
Y  0.7969  0.2553  0.7969  4 Dy 2.96-3.21
Y  0.7969  0.7969  0.2553  4 Dy 2.96-3.21

E above lowest polymorph	249	meV/atom
density of states at the Fermi level	22.44	states/eV/cell
space group	R-3m
theoretical density	6.66	Mg/m³

---

[2]
The following is a DFT calculation (PBE) of a relaxed structure of Tb2DyY.

Cell lengths 11.7827, 11.7827, 11.7827 Å; angles 17.37, 17.37, 17.37 degrees
Last column: nearest neighbours and their distance in Å.
Fractional coordinates of all 4 atoms:
Tb  0.2503  0.2503  0.2503  3 Dy 3.55, 6 Tb 3.56, 3 Y 3.56
Tb  0.7497  0.7497  0.7497  3 Dy 3.55, 6 Tb 3.56, 3 Y 3.56
Dy  0.0000  0.0000  0.0000  6 Tb 3.55, 6 Dy 3.56
Y  0.5000  0.5000  0.5000  6 Y 3.56, 6 Tb 3.56

E above lowest polymorph	9	meV/atom
density of states at the Fermi level	5.66	states/eV/cell
space group	R-3m
theoretical density	7.43	Mg/m³

---

[3]
The following is a DFT calculation (PBE) of a relaxed structure of TbDy7Y12.

Cell lengths 8.7015, 8.7015, 8.7015 Å; angles 95.15, 95.15, 95.15 degrees
Last column: nearest neighbours and their distance in Å.
Fractional coordinates of all 20 atoms:
Tb  0.0000  0.0000  0.0000  6 Dy 3.08
Dy  0.0221  0.3532  0.0847  2 Y 3.07-3.35, 1 Tb 3.08, 1 Dy 3.10
Dy  0.0847  0.0221  0.3532  2 Y 3.07-3.35, 1 Tb 3.08, 1 Dy 3.10
Dy  0.3532  0.0847  0.0221  2 Y 3.07-3.35, 1 Tb 3.08, 1 Dy 3.10
Dy  0.5000  0.5000  0.5000  6 Y 3.06
Dy  0.6468  0.9153  0.9779  2 Y 3.07-3.35, 1 Tb 3.08, 1 Dy 3.10
Dy  0.9153  0.9779  0.6468  2 Y 3.07-3.35, 1 Tb 3.08, 1 Dy 3.10
Dy  0.9779  0.6468  0.9153  2 Y 3.07-3.35, 1 Tb 3.08, 1 Dy 3.10
Y  0.1488  0.4804  0.4170  2 Dy 3.06-3.07, 2 Y 3.11-3.37
Y  0.1844  0.3123  0.7508  3 Dy 3.35-3.56, 3 Y 3.37-3.57
Y  0.2492  0.8156  0.6877  3 Dy 3.35-3.56, 3 Y 3.37-3.57
Y  0.3123  0.7508  0.1844  3 Dy 3.35-3.56, 3 Y 3.37-3.57
Y  0.4170  0.1488  0.4804  2 Dy 3.06-3.07, 2 Y 3.11-3.37
Y  0.4804  0.4170  0.1488  2 Dy 3.06-3.07, 2 Y 3.11-3.37
Y  0.5196  0.5830  0.8512  2 Dy 3.06-3.07, 2 Y 3.11-3.37
Y  0.5830  0.8512  0.5196  2 Dy 3.06-3.07, 2 Y 3.11-3.37
Y  0.6877  0.2492  0.8156  3 Dy 3.35-3.56, 3 Y 3.37-3.57
Y  0.7508  0.1844  0.3123  3 Dy 3.35-3.56, 3 Y 3.37-3.57
Y  0.8156  0.6877  0.2492  3 Dy 3.35-3.56, 3 Y 3.37-3.57
Y  0.8512  0.5196  0.5830  2 Dy 3.06-3.07, 2 Y 3.11-3.37

E above lowest polymorph	0	meV/atom
density of states at the Fermi level	18.72	states/eV/cell
space group	R-3
theoretical density	6.03	Mg/m³

---

no.,total energy (eV per atom)
1,-4.73
2,-5.06
3,-5.44